No. 1
Below is a relaxed structure of Ac3ErTh2Sb6, with properties calculated at the GGA-PBE level.

```
Ac3ErTh2Sb6
1.0
-7.022 -3.664 -1.001
5.036 0.743 -6.151
3.867 -5.662 4.208
Ac Er Th Sb
3 1 2 6
Cartesian
4.939 -2.830 -3.180
-3.059 -5.753 0.236
0.940 -4.292 -1.472
0.000 0.000 0.000
1.008 -0.729 -4.431
-2.995 -2.192 -2.721
-0.508 -7.310 -1.343
-0.594 -3.497 -4.383
2.388 -1.273 -1.602
3.454 -5.862 -3.035
2.474 -5.086 1.439
-1.573 -2.722 0.090
```

Calculated values
space group: C2/m, No. 12
formation energy without anion corrections: -105 kJ per mole of atoms

---

No. 2
Below is a relaxed structure of La2GaIr3, with properties calculated at the GGA-PBE level.

```
La2GaIr3
1.0
-3.197 4.022 -1.221
-3.462 1.266 3.782
1.084 4.503 2.538
La Ga Ir
2 1 3
Cartesian
-2.077 3.647 1.899
-3.499 6.144 3.200
0.000 0.000 0.000
0.542 2.251 1.269
-1.599 2.011 -0.610
-1.731 0.633 1.891
```

Calculated values
space group: R-3m, No. 166
calculated formation energy: -72.0 kJ per mole of atoms

---

No. 3
Below is a relaxed structure of Pm3Nd3In, with properties calculated at the GGA-PBE level.

```
Pm3Nd3In
1.0
5.288 0.000 0.000
0.000 13.676 0.000
0.000 0.000 13.064
Pm Nd In
12 12 4
Cartesian
3.966 13.506 12.222
1.322 7.008 5.691
1.322 0.170 0.841
3.966 6.668 7.373
3.966 12.895 5.644
1.322 7.618 12.176
1.322 0.781 7.420
3.966 6.057 0.888
3.966 10.009 0.888
1.322 10.505 7.420
1.322 3.667 12.176
3.966 3.171 5.644
3.966 9.256 10.148
1.322 11.257 3.616
1.322 4.419 2.916
3.966 2.419 9.448
3.966 2.558 1.550
1.322 4.280 8.082
1.322 11.117 11.514
3.966 9.396 4.982
3.966 12.488 9.077
1.322 8.025 2.545
1.322 1.187 3.987
3.966 5.651 10.519
3.966 13.007 2.469
1.322 7.507 9.001
1.322 0.669 10.595
3.966 6.169 4.063
```

Calculated values
space group: Pnma, No. 62
energy above the most stable polymorph in this dataset: 65 meV per atom
calculated formation energy: -3.7 kJ per mole of atoms

---

No. 4
Below is a relaxed structure of CaSi2Ir, with properties calculated at the GGA-PBE level.

```
CaSi2Ir
1.0
3.919 0.000 0.000
0.000 7.274 0.000
0.000 0.000 10.251
Ca Si Ir
4 8 4
Cartesian
2.939 4.641 6.417
0.980 6.270 1.291
0.980 2.633 3.834
2.939 1.004 8.959
2.939 1.337 5.893
0.980 2.300 0.768
0.980 5.937 4.358
2.939 4.974 9.483
2.939 4.868 3.297
0.980 6.042 8.423
0.980 2.405 6.954
2.939 1.232 1.828
2.939 0.069 3.895
0.980 3.568 9.020
0.980 7.205 6.356
2.939 3.706 1.230
```

Calculated values
space group: Pnma, No. 62
formation energy without anion corrections: -65 kJ per mole of atoms

---

No. 5
Below is a relaxed structure of BeIrIO2, with properties calculated at the GGA-PBE level.

```
BeIrIO2
1.0
3.725 0.000 0.000
0.000 3.725 0.000
0.000 0.000 8.249
I Be Ir O
1 1 1 2
Cartesian
0.000 0.000 4.124
1.862 1.862 4.124
0.000 0.000 0.000
0.000 1.862 0.000
1.862 0.000 0.000
```

Calculated values
space group: P4/mmm, No. 123
energy above the most stable polymorph in this dataset: 0 meV per atom
formation energy without anion corrections: -6 kJ per mole of atoms

---

No. 6
Below is a relaxed structure of Sr3Zn2In4, with properties calculated at the GGA-PBE level.

```
Sr3Zn2In4
1.0
-4.286 1.847 1.567
-0.748 -4.529 -4.440
1.079 -4.513 8.269
Sr Zn In
3 2 4
Cartesian
-2.232 -3.172 5.366
0.000 0.000 0.000
-1.723 -4.023 0.030
-2.694 -1.666 2.327
-1.261 -5.529 3.069
-3.357 -1.002 -0.268
-0.598 -6.194 5.663
-3.877 -4.689 2.655
-0.078 -2.507 2.740
```

Calculated values
space group: C2/m, No. 12
calculated formation energy: -36.2 kJ per mole of atoms

---

No. 7
Below is a relaxed structure of Nd2Zr3Si4, with properties calculated at the GGA-PBE level.

```
Nd2Zr3Si4
1.0
-6.554 1.647 2.567
-0.716 -1.861 -7.160
-1.023 -7.108 1.950
Nd Zr Si
4 6 8
Cartesian
-4.232 -1.752 0.749
-7.501 -5.876 -1.799
-4.061 -5.570 -3.393
-0.792 -1.446 -0.844
-0.869 -4.485 -2.605
-3.635 -0.107 -2.297
-5.940 -5.077 1.707
-5.777 -2.438 -2.788
-2.354 -2.245 -4.350
-2.516 -4.884 0.145
-6.343 -2.518 2.696
-4.788 -0.929 -4.893
-1.950 -4.804 -5.340
-3.505 -6.393 2.250
-6.194 -0.353 -1.068
-5.114 -4.327 -0.791
-2.099 -6.969 -1.575
-3.179 -2.995 -1.853
```

Calculated values
space group: P2_1/c, No. 14
formation energy without anion corrections: -81 kJ per mole of atoms

---

No. 8
Below is a relaxed structure of CaRe2Pb, with properties calculated at the GGA-PBE level.

```
CaRe2Pb
1.0
-7.102 -6.838 -4.220
-5.877 -8.682 -2.258
-8.086 -6.897 -1.431
Pb Re Ca
1 2 1
Cartesian
-15.799 -16.813 -5.931
-21.011 -22.358 -7.888
-10.588 -11.267 -3.975
-5.266 -5.604 -1.977
```

Calculated values
space group: R-3m, No. 166
calculated formation energy: 114.6 kJ per mole of atoms

---

No. 9
Below is a relaxed structure of TaHgRu, with properties calculated at the GGA-PBE level.

```
TaHgRu
1.0
6.100 -0.015 0.016
5.337 2.953 0.013
0.762 0.198 2.961
Hg Ru Ta
1 1 1
Cartesian
0.814 0.211 2.947
8.041 2.066 0.962
4.107 1.057 2.043
```

Calculated values
space group: I4mm, No. 107
energy above the most stable polymorph in this dataset: 8 meV per atom
calculated formation energy: 10.7 kJ per mole of atoms

---

No. 10
Below is a relaxed structure of Al2CuSn, with properties calculated at the GGA-PBE level.

```
Al2CuSn
1.0
3.036 0.000 0.000
1.518 2.629 0.000
1.518 0.876 9.515
Sn Cu Al
1 1 2
Cartesian
0.000 0.000 0.000
3.036 1.753 4.757
1.518 0.876 6.626
4.553 2.629 2.889
```

Calculated values
space group: R-3m, No. 166
calculated formation energy: 9.5 kJ per mole of atoms

---

No. 11
Below is a relaxed structure of Pa2AlGe2, with properties calculated at the GGA-PBE level.

```
Pa2AlGe2
1.0
3.646 0.000 1.634
1.036 5.005 2.574
-0.369 0.161 5.708
Pa Al Ge
2 1 2
Cartesian
3.329 3.710 7.226
0.983 1.455 2.690
0.000 0.000 0.000
2.457 3.620 4.287
1.855 1.545 5.629
```

Calculated values
space group: Immm, No. 71
energy above the most stable polymorph in this dataset: 0 meV per atom
calculated formation energy: -37.9 kJ per mole of atoms

---

No. 12
Below is a relaxed structure of TeIrAu2, with properties calculated at the GGA-PBE level.

```
TeIrAu2
1.0
4.745 0.000 0.000
0.000 3.989 0.000
0.000 0.000 3.989
Au Ir Te
2 1 1
Cartesian
0.000 0.000 0.000
0.000 1.995 1.995
2.373 1.995 0.000
2.373 0.000 1.995
```

Calculated values
space group: P4/mmm, No. 123
formation energy without anion corrections: 42 kJ per mole of atoms

---

No. 13
Below is a relaxed structure of AcPmBeN3, with properties calculated at the GGA-PBE level.

```
AcPmBeN3
1.0
3.510 0.000 0.000
0.000 7.483 1.162
0.000 -2.392 6.798
Ac Pm Be N
2 2 2 6
Cartesian
0.877 0.775 1.680
2.632 4.315 6.280
0.877 4.412 2.014
2.632 0.678 5.946
0.877 -0.902 4.191
2.632 5.992 3.769
2.632 6.232 2.087
0.877 -1.142 5.874
0.877 5.272 4.289
2.632 -0.181 3.671
2.632 2.700 1.561
0.877 2.390 6.400
```

Calculated values
space group: P2_1/m, No. 11
formation energy without anion corrections: -91 kJ per mole of atoms

---

No. 14
Below is a relaxed structure of ScPaPd2, with properties calculated at the GGA-PBE level.

```
ScPaPd2
1.0
4.652 0.000 0.000
2.326 4.029 0.000
2.326 1.343 4.396
Sc Pa Pd
1 1 2
Cartesian
0.000 0.000 0.000
4.652 2.686 2.198
6.978 4.029 3.633
2.326 1.343 0.762
```

Calculated values
space group: R-3m, No. 166
energy above the most stable polymorph in this dataset: 65 meV per atom
calculated formation energy: -55.3 kJ per mole of atoms

---

No. 15
Below is a relaxed structure of Nb4CoMo2, with properties calculated at the GGA-PBE level.

```
Nb4CoMo2
1.0
-4.468 0.271 0.822
-0.857 -0.782 -4.401
-2.835 -6.626 -0.624
Mo Co Nb
2 1 4
Cartesian
-2.705 -1.827 -1.502
-5.455 -5.309 -2.701
0.000 0.000 0.000
-2.770 -4.237 -1.061
-5.390 -2.899 -3.142
-0.429 -0.391 -2.200
-2.234 0.136 0.411
```

Calculated values
space group: I4/mmm, No. 139
calculated formation energy: 82.5 kJ per mole of atoms

---

No. 16
Below is a relaxed structure of CuSn2Au, with properties calculated at the GGA-PBE level.

```
CuSn2Au
1.0
-0.829 -1.067 -3.768
-6.450 -0.557 1.577
-0.483 6.610 0.360
Cu Sn Au
2 4 2
Cartesian
-5.023 3.393 0.144
-2.543 3.607 -0.462
-0.871 2.555 -2.658
-3.951 1.294 -1.623
-4.408 4.388 -2.399
-0.834 5.648 -1.416
-1.552 1.060 0.041
-5.246 0.741 0.945
```

Calculated values
space group: Amm2, No. 38
energy above the most stable polymorph in this dataset: 3 meV per atom
calculated formation energy: -1.2 kJ per mole of atoms

---

No. 17
Below is a relaxed structure of NaPr2N, with properties calculated at the GGA-PBE level.

```
NaPr2N
1.0
-1.753 1.434 2.306
-2.716 -0.927 -1.488
0.004 -8.268 5.146
Na Pr N
1 2 1
Cartesian
-2.233 -1.814 1.696
0.004 -7.473 4.652
0.002 -4.929 3.068
-2.231 -5.948 4.269
```

Calculated values
space group: P4/mmm, No. 123
energy above the most stable polymorph in this dataset: 454 meV per atom
formation energy without anion corrections: -9 kJ per mole of atoms

---

No. 18
Below is a relaxed structure of SmTlPb2, with properties calculated at the GGA-PBE level.

```
SmTlPb2
1.0
-1.149 4.758 0.865
-4.665 -0.988 -0.759
-0.555 -0.987 4.694
Pb Tl Sm
2 1 1
Cartesian
-0.277 -0.493 2.347
-2.332 -0.494 -0.380
-3.184 1.391 2.400
-0.574 2.379 0.432
```

Calculated values
space group: P4/mmm, No. 123
energy above the most stable polymorph in this dataset: 0 meV per atom
calculated formation energy: -32.3 kJ per mole of atoms

---

No. 19
Below is a relaxed structure of Tb3MgHg2, with properties calculated at the GGA-PBE level.

```
Tb3MgHg2
1.0
-0.807 -3.538 -1.049
3.225 -0.155 -1.960
5.280 -3.870 8.993
Tb Mg Hg
3 1 2
Cartesian
0.000 0.000 0.000
3.540 -2.594 6.029
1.740 -1.275 2.964
3.849 -3.781 2.992
5.584 -5.053 5.947
2.114 -2.510 0.038
```

Calculated values
space group: P4/mmm, No. 123
energy above the most stable polymorph in this dataset: 14 meV per atom
calculated formation energy: -33.6 kJ per mole of atoms

---

No. 20
Below is a relaxed structure of Li2PmThTe4, with properties calculated at the GGA-PBE level.

```
Li2PmThTe4
1.0
4.367 0.000 0.000
0.000 7.576 0.138
0.000 -2.634 7.128
Li Pm Th Te
2 1 1 4
Cartesian
2.184 -1.317 3.564
0.000 2.471 3.633
2.184 3.788 0.069
0.000 0.000 0.000
2.184 1.230 1.943
2.184 3.712 5.323
0.000 -0.087 5.270
0.000 5.029 1.996
```

Calculated values
space group: P2/m, No. 10
formation energy without anion corrections: -115 kJ per mole of atoms

---

No. 21
Below is a relaxed structure of Sr2HgI4, with properties calculated at the GGA-PBE level.

```
Sr2HgI4
1.0
4.769 0.000 0.693
2.334 4.158 0.693
-0.256 -0.150 18.519
Sr Hg I
2 1 4
Cartesian
2.883 1.688 13.672
3.964 2.321 6.233
0.000 0.000 0.000
0.773 0.453 11.436
1.855 1.086 3.992
4.992 2.923 15.913
6.073 3.556 8.469
```

Calculated values
space group: R-3m, No. 166
formation energy without anion corrections: -139 kJ per mole of atoms

---

No. 22
Below is a relaxed structure of SrRhN2F, with properties calculated at the GGA-PBE level.

```
SrRhN2F
1.0
4.567 0.000 0.000
0.000 4.567 0.000
0.000 0.000 4.393
Sr N Rh F
1 2 1 1
Cartesian
0.000 0.000 0.000
0.000 2.283 0.000
2.283 0.000 0.000
2.283 2.283 2.197
0.000 0.000 2.197
```

Calculated values
space group: P4/mmm, No. 123
energy above the most stable polymorph in this dataset: 1911 meV per atom
formation energy without anion corrections: 133 kJ per mole of atoms

---

No. 23
Below is a relaxed structure of La5Ga2Ge, with properties calculated at the GGA-PBE level.

```
La5Ga2Ge
1.0
7.364 0.000 -3.476
-1.641 7.179 -3.476
-0.207 -0.260 9.099
La Ga Ge
10 4 2
Cartesian
2.604 4.654 2.180
4.421 6.933 -3.509
0.000 0.000 0.000
2.862 3.589 -3.476
1.095 -0.014 5.656
4.530 1.064 3.396
-0.832 3.575 4.440
0.985 5.855 -1.249
6.347 3.343 -2.293
2.912 2.265 -0.033
0.235 2.748 -1.738
4.352 0.841 -2.553
1.371 6.338 -4.400
5.489 4.430 -5.214
4.189 5.254 -0.665
1.327 1.665 2.811
```

Calculated values
space group: I4/mcm, No. 140
calculated formation energy: -52.9 kJ per mole of atoms

---

No. 24
Below is a relaxed structure of NdSnGe4, with properties calculated at the GGA-PBE level.

```
NdSnGe4
1.0
-2.611 -4.403 2.505
3.072 -4.004 2.647
-0.116 -0.386 5.685
Ge Nd Sn
4 1 1
Cartesian
0.273 -5.296 3.943
-1.308 -3.501 5.449
0.215 -5.487 6.762
1.510 -3.303 5.520
0.000 0.000 0.000
0.086 -2.198 2.709
```

Calculated values
space group: F-43m, No. 216
calculated formation energy: -16.9 kJ per mole of atoms